Cs2CrCo3F12: optimized geometry, PBE with a Hubbard U.

abc: 7.435 7.435 7.435
angles: 59.58 59.58 59.58
Positions (direct):
F: 0.066 0.679 0.679
F: 0.321 0.934 0.321
Co: 0.000 0.500 0.000
F: 0.688 0.068 0.068
F: 0.068 0.068 0.688
F: 0.932 0.312 0.932
Cs: 0.624 0.624 0.624
F: 0.321 0.321 0.934
F: 0.312 0.932 0.932
Cr: 0.000 0.000 0.000
F: 0.679 0.066 0.679
F: 0.068 0.688 0.068
F: 0.679 0.679 0.066
F: 0.934 0.321 0.321
Cs: 0.376 0.376 0.376
Co: 0.500 0.000 0.000
Co: 0.000 0.000 0.500
F: 0.932 0.932 0.312

Results
Its space group is R-3m, No. 166. The calculation puts the total energy at -5.057 eV per atom. Its crystal system is trigonal. The total magnetization comes out at 7.00 μB per cell. The value obtained for the density is 4.2 Mg/m³.